VASP calculation (PBE with a Hubbard U) on an optimized crystal structure of DyNiPdO4.

Cell: 6.1555 6.1555 6.1555 Å, 113.84 110.91 103.82°
Sites, in units of the cell vectors:
Dy1 0.5000 0.0000 0.0000
Dy2 0.5000 0.5000 0.5000
Ni1 0.0465 0.2965 0.7500
Ni2 0.9535 0.7035 0.2500
Pd1 0.0000 0.0000 0.0000
Pd2 0.5000 0.0000 0.5000
O1 0.1995 0.1496 0.4501
O2 0.1995 0.7494 0.0499
O3 0.2673 0.7332 0.5342
O4 0.3010 0.2668 0.0342
O5 0.6990 0.7332 0.9658
O6 0.7327 0.2668 0.4658
O7 0.8005 0.2506 0.9501
O8 0.8005 0.8504 0.5499

Computed properties:
space-group type = Imma, No. 74
DFT total energy = -6.149 eV per atom